*P*
Below is InSe2N after structural relaxation, with properties calculated at the GGA-PBE level.

Output
M_tot ... 0.000 μB per formula unit
SG ... I-42d (122)

Cell and atoms, written as extended XYZ:
```
16
Lattice="5.539 0.000 0.000 0.000 5.539 0.000 0.000 0.000 11.892" Properties=species:S:1:pos:R:3 pbc="T T T"
In 0.000 0.000 0.000
In 0.000 2.770 2.973
In 2.770 0.000 8.919
In 2.770 2.770 5.946
Se 0.749 1.385 7.433
Se 1.385 3.519 10.406
Se 1.385 4.790 4.460
Se 2.020 1.385 1.487
Se 3.519 4.155 1.487
Se 4.155 0.749 4.460
Se 4.155 2.020 10.406
Se 4.790 4.155 7.433
N 0.000 0.000 5.946
N 0.000 2.770 8.919
N 2.770 0.000 2.973
N 2.770 2.770 0.000
```



*Q*
Below is InSe2N after structural relaxation, with properties calculated at the GGA-PBE level.

Output
M_tot ... 1.944 μB per formula unit
SG ... Fm-3m (225)

Cell and atoms, written as extended XYZ:
```
16
Lattice="6.732 0.000 0.000 0.000 6.732 0.000 0.000 0.000 6.732" Properties=species:S:1:pos:R:3 pbc="T T T"
In 0.000 0.000 0.000
In 0.000 3.366 3.366
In 3.366 0.000 3.366
In 3.366 3.366 0.000
Se 1.683 1.683 1.683
Se 1.683 1.683 5.049
Se 1.683 5.049 1.683
Se 1.683 5.049 5.049
Se 5.049 1.683 1.683
Se 5.049 1.683 5.049
Se 5.049 5.049 1.683
Se 5.049 5.049 5.049
N 0.000 0.000 3.366
N 0.000 3.366 0.000
N 3.366 0.000 0.000
N 3.366 3.366 3.366
```



Result of the stability comparison: *P* is the most stable of them.



*P*
Below is InSe3N after structural relaxation, with properties calculated at the GGA-PBE level.

Output
M_tot ... 5.816 μB per formula unit
SG ... Pm-3m (221)

Cell and atoms, written as extended XYZ:
```
5
Lattice="5.384 0.000 0.000 0.000 5.384 0.000 0.000 0.000 5.384" Properties=species:S:1:pos:R:3 pbc="T T T"
In 0.000 0.000 0.000
Se 0.000 0.000 2.692
Se 0.000 2.692 0.000
Se 2.692 0.000 0.000
N 2.692 2.692 2.692
```



*Q*
Below is InSe3N after structural relaxation, with properties calculated at the GGA-PBE level.

Output
M_tot ... 0.000 μB per formula unit
SG ... Pm-3m (221)

Cell and atoms, written as extended XYZ:
```
5
Lattice="4.539 0.000 0.000 0.000 4.539 0.000 0.000 0.000 4.539" Properties=species:S:1:pos:R:3 pbc="T T T"
In 0.000 0.000 0.000
Se 0.000 2.269 2.269
Se 2.269 0.000 2.269
Se 2.269 2.269 0.000
N 2.269 2.269 2.269
```



Result of the stability comparison: *Q* is the most stable of them.



*P*
Below is In2SeN after structural relaxation, with properties calculated at the GGA-PBE level.

Output
M_tot ... 0.000 μB per formula unit
SG ... I-42d (122)

Cell and atoms, written as extended XYZ:
```
16
Lattice="5.819 0.000 0.000 0.000 5.819 0.000 0.000 0.000 11.079" Properties=species:S:1:pos:R:3 pbc="T T T"
In 0.986 1.455 1.385
In 1.455 3.896 4.155
In 1.455 4.833 9.695
In 1.924 1.455 6.925
In 3.896 4.365 6.925
In 4.365 0.986 9.695
In 4.365 1.924 4.155
In 4.833 4.365 1.385
Se 0.000 0.000 5.540
Se 0.000 2.910 8.310
Se 2.910 0.000 2.770
Se 2.910 2.910 0.000
N 0.000 0.000 0.000
N 0.000 2.910 2.770
N 2.910 0.000 8.310
N 2.910 2.910 5.540
```



*Q*
Below is In2SeN after structural relaxation, with properties calculated at the GGA-PBE level.

Output
M_tot ... 0.000 μB per formula unit
SG ... Fm-3m (225)

Cell and atoms, written as extended XYZ:
```
16
Lattice="6.727 0.000 0.000 0.000 6.727 0.000 0.000 0.000 6.727" Properties=species:S:1:pos:R:3 pbc="T T T"
In 1.682 1.682 1.682
In 1.682 1.682 5.045
In 1.682 5.045 1.682
In 1.682 5.045 5.045
In 5.045 1.682 1.682
In 5.045 1.682 5.045
In 5.045 5.045 1.682
In 5.045 5.045 5.045
Se 0.000 0.000 0.000
Se 0.000 3.363 3.363
Se 3.363 0.000 3.363
Se 3.363 3.363 0.000
N 0.000 0.000 3.363
N 0.000 3.363 0.000
N 3.363 0.000 0.000
N 3.363 3.363 3.363
```



Result of the stability comparison: *P* is the most stable of them.



*P*
Below is InSnSe2N after structural relaxation, with properties calculated at the GGA-PBE level.

Output
M_tot ... 1.225 μB per formula unit
SG ... P4/mmm (123)

Cell and atoms, written as extended XYZ:
```
5
Lattice="5.436 0.000 0.000 0.000 5.436 0.000 0.000 0.000 4.077" Properties=species:S:1:pos:R:3 pbc="T T T"
In 0.000 0.000 0.000
Sn 2.718 2.718 2.038
Se 0.000 2.718 2.038
Se 2.718 0.000 2.038
N 2.718 2.718 0.000
```



*Q*
Below is InSnSe2N after structural relaxation, with properties calculated at the GGA-PBE level.

Output
M_tot ... 1.988 μB per formula unit
SG ... P4/mmm (123)

Cell and atoms, written as extended XYZ:
```
5
Lattice="5.426 0.000 0.000 0.000 5.426 0.000 0.000 0.000 4.202" Properties=species:S:1:pos:R:3 pbc="T T T"
In 0.000 0.000 0.000
Sn 2.713 2.713 2.101
Se 0.000 2.713 0.000
Se 2.713 0.000 0.000
N 0.000 0.000 2.101
```



Result of the stability comparison: *P* is the most stable of them.



*P*
Below is InTeSe2N after structural relaxation, with properties calculated at the GGA-PBE level.

Output
M_tot ... 0.001 μB per formula unit
SG ... P4/mmm (123)

Cell and atoms, written as extended XYZ:
```
5
Lattice="5.487 0.000 0.000 0.000 5.487 0.000 0.000 0.000 3.999" Properties=species:S:1:pos:R:3 pbc="T T T"
In 0.000 0.000 0.000
Te 2.743 2.743 2.000
Se 0.000 2.743 2.000
Se 2.743 0.000 2.000
N 2.743 2.743 0.000
```



*Q*
Below is InTeSe2N after structural relaxation, with properties calculated at the GGA-PBE level.

Output
M_tot ... 1.543 μB per formula unit
SG ... P4/mmm (123)

Cell and atoms, written as extended XYZ:
```
5
Lattice="5.426 0.000 0.000 0.000 5.426 0.000 0.000 0.000 4.131" Properties=species:S:1:pos:R:3 pbc="T T T"
In 0.000 0.000 0.000
Te 2.713 2.713 2.066
Se 0.000 2.713 0.000
Se 2.713 0.000 0.000
N 0.000 0.000 2.066
```



Result of the stability comparison: *P* is the most stable of them.



*P*
Below is InTe2SeN after structural relaxation, with properties calculated at the GGA-PBE level.

Output
M_tot ... 1.470 μB per formula unit
SG ... P4/mmm (123)

Cell and atoms, written as extended XYZ:
```
5
Lattice="5.827 0.000 0.000 0.000 5.827 0.000 0.000 0.000 4.029" Properties=species:S:1:pos:R:3 pbc="T T T"
In 0.000 0.000 0.000
Te 0.000 2.914 0.000
Te 2.914 0.000 0.000
Se 2.914 2.914 2.015
N 0.000 0.000 2.015
```



*Q*
Below is InTe2SeN after structural relaxation, with properties calculated at the GGA-PBE level.

Output
M_tot ... 0.000 μB per formula unit
SG ... P4/mmm (123)

Cell and atoms, written as extended XYZ:
```
5
Lattice="5.957 0.000 0.000 0.000 5.957 0.000 0.000 0.000 3.668" Properties=species:S:1:pos:R:3 pbc="T T T"
In 0.000 0.000 0.000
Te 0.000 2.979 1.834
Te 2.979 0.000 1.834
Se 2.979 2.979 1.834
N 2.979 2.979 0.000
```



Result of the stability comparison: *Q* is the most stable of them.



*P*
Below is TiInSe2N after structural relaxation, with properties calculated at the GGA-PBE level.

Output
M_tot ... 3.347 μB per formula unit
SG ... P4/mmm (123)

Cell and atoms, written as extended XYZ:
```
5
Lattice="5.363 0.000 0.000 0.000 5.363 0.000 0.000 0.000 4.046" Properties=species:S:1:pos:R:3 pbc="T T T"
Ti 0.000 0.000 0.000
In 2.682 2.682 2.023
Se 0.000 2.682 2.023
Se 2.682 0.000 2.023
N 2.682 2.682 0.000
```



*Q*
Below is TiInSe2N after structural relaxation, with properties calculated at the GGA-PBE level.

Output
M_tot ... 0.228 μB per formula unit
SG ... P4/mmm (123)

Cell and atoms, written as extended XYZ:
```
5
Lattice="5.198 0.000 0.000 0.000 5.198 0.000 0.000 0.000 3.776" Properties=species:S:1:pos:R:3 pbc="T T T"
Ti 0.000 0.000 0.000
In 2.599 2.599 1.888
Se 0.000 2.599 0.000
Se 2.599 0.000 0.000
N 0.000 0.000 1.888
```



Result of the stability comparison: *Q* is the most stable of them.



*P*
Below is TlInSeN2 after structural relaxation, with properties calculated at the GGA-PBE level.

Output
M_tot ... 3.408 μB per formula unit
SG ... P4/mmm (123)

Cell and atoms, written as extended XYZ:
```
5
Lattice="4.382 0.000 0.000 0.000 4.382 0.000 0.000 0.000 5.750" Properties=species:S:1:pos:R:3 pbc="T T T"
Tl 0.000 0.000 0.000
In 2.191 2.191 2.875
Se 2.191 2.191 0.000
N 0.000 2.191 2.875
N 2.191 0.000 2.875
```



*Q*
Below is TlInSeN2 after structural relaxation, with properties calculated at the GGA-PBE level.

Output
M_tot ... 3.106 μB per formula unit
SG ... P4/mmm (123)

Cell and atoms, written as extended XYZ:
```
5
Lattice="4.405 0.000 0.000 0.000 4.405 0.000 0.000 0.000 6.038" Properties=species:S:1:pos:R:3 pbc="T T T"
Tl 0.000 0.000 0.000
In 2.202 2.202 3.019
Se 0.000 0.000 3.019
N 0.000 2.202 0.000
N 2.202 0.000 0.000
```



Result of the stability comparison: *P* is the most stable of them.



*P*
Below is ZnInSeN2 after structural relaxation, with properties calculated at the GGA-PBE level.

Output
M_tot ... 3.327 μB per formula unit
SG ... P4/mmm (123)

Cell and atoms, written as extended XYZ:
```
5
Lattice="4.196 0.000 0.000 0.000 4.196 0.000 0.000 0.000 5.851" Properties=species:S:1:pos:R:3 pbc="T T T"
Zn 0.000 0.000 0.000
In 2.098 2.098 2.926
Se 2.098 2.098 0.000
N 0.000 2.098 2.926
N 2.098 0.000 2.926
```



*Q*
Below is ZnInSeN2 after structural relaxation, with properties calculated at the GGA-PBE level.

Output
M_tot ... 3.086 μB per formula unit
SG ... P4/mmm (123)

Cell and atoms, written as extended XYZ:
```
5
Lattice="4.102 0.000 0.000 0.000 4.102 0.000 0.000 0.000 6.704" Properties=species:S:1:pos:R:3 pbc="T T T"
Zn 0.000 0.000 0.000
In 0.000 0.000 3.352
Se 2.051 2.051 0.000
N 0.000 2.051 3.352
N 2.051 0.000 3.352
```



Result of the stability comparison: *P* is the most stable of them.



*P*
Below is In2SiN2 after structural relaxation, with properties calculated at the GGA-PBE level.

Output
M_tot ... 0.000 μB per formula unit
SG ... I4/mmm (139)

Cell and atoms, written as extended XYZ:
```
10
Lattice="4.152 0.000 0.000 0.000 4.152 0.000 0.000 0.000 9.399" Properties=species:S:1:pos:R:3 pbc="T T T"
In 0.000 0.000 1.471
In 0.000 0.000 7.928
In 2.076 2.076 3.228
In 2.076 2.076 6.170
Si 0.000 0.000 4.699
Si 2.076 2.076 0.000
N 0.000 2.076 2.350
N 0.000 2.076 7.049
N 2.076 0.000 2.350
N 2.076 0.000 7.049
```



*Q*
Below is In2SiN2 after structural relaxation, with properties calculated at the GGA-PBE level.

Output
M_tot ... 0.000 μB per formula unit
SG ... P4/mbm (127)

Cell and atoms, written as extended XYZ:
```
10
Lattice="6.964 0.000 0.000 0.000 6.964 0.000 0.000 0.000 3.063" Properties=species:S:1:pos:R:3 pbc="T T T"
In 1.025 2.457 0.000
In 2.457 5.939 0.000
In 4.507 1.025 0.000
In 5.939 4.507 0.000
Si 0.000 0.000 0.000
Si 3.482 3.482 0.000
N 1.048 4.530 1.532
N 2.434 1.048 1.532
N 4.530 5.916 1.532
N 5.916 2.434 1.532
```



Result of the stability comparison: *P* is the most stable of them.



*P*
Below is Sm4In2N after structural relaxation, with properties calculated at the GGA-PBE level.

Output
M_tot ... 0.000 μB per formula unit
SG ... Cmmm (65)

Cell and atoms, written as extended XYZ:
```
14
Lattice="5.163 0.000 0.000 0.000 23.707 0.000 0.000 0.000 3.470" Properties=species:S:1:pos:R:3 pbc="T T T"
Sm 0.000 1.605 0.000
Sm 0.000 4.806 1.735
Sm 0.000 18.901 1.735
Sm 0.000 22.102 0.000
Sm 2.582 7.048 1.735
Sm 2.582 10.249 0.000
Sm 2.582 13.458 0.000
Sm 2.582 16.659 1.735
In 0.000 8.035 0.000
In 0.000 15.672 0.000
In 2.582 3.818 0.000
In 2.582 19.888 0.000
N 0.000 0.000 1.735
N 2.582 11.853 1.735
```



*Q*
Below is Sm4In2N after structural relaxation, with properties calculated at the GGA-PBE level.

Output
M_tot ... 0.000 μB per formula unit
SG ... I4/mmm (139)

Cell and atoms, written as extended XYZ:
```
14
Lattice="4.894 0.000 0.000 0.000 4.894 0.000 0.000 0.000 16.100" Properties=species:S:1:pos:R:3 pbc="T T T"
Sm 0.000 0.000 2.611
Sm 0.000 0.000 13.488
Sm 0.000 2.447 0.000
Sm 0.000 2.447 8.050
Sm 2.447 0.000 0.000
Sm 2.447 0.000 8.050
Sm 2.447 2.447 5.439
Sm 2.447 2.447 10.661
In 0.000 0.000 5.847
In 0.000 0.000 10.253
In 2.447 2.447 2.203
In 2.447 2.447 13.897
N 0.000 0.000 0.000
N 2.447 2.447 8.050
```



Result of the stability comparison: *Q* is the most stable of them.



*P*
Below is InSn2N2 after structural relaxation, with properties calculated at the GGA-PBE level.

Output
M_tot ... 0.000 μB per formula unit
SG ... P-3m1 (164)

Cell and atoms, written as extended XYZ:
```
5
Lattice="3.208 0.000 0.000 -1.604 2.778 0.000 0.000 0.000 11.225" Properties=species:S:1:pos:R:3 pbc="T T T"
In 0.000 0.000 0.000
Sn 0.000 1.852 8.002
Sn 1.604 0.926 3.223
N 0.000 1.852 5.766
N 1.604 0.926 5.459
```



*Q*
Below is InSn2N2 after structural relaxation, with properties calculated at the GGA-PBE level.

Output
M_tot ... 0.000 μB per formula unit
SG ... P4/mbm (127)

Cell and atoms, written as extended XYZ:
```
10
Lattice="7.373 0.000 0.000 0.000 7.373 0.000 0.000 0.000 3.513" Properties=species:S:1:pos:R:3 pbc="T T T"
In 0.000 0.000 0.000
In 3.687 3.687 0.000
Sn 1.034 2.653 1.756
Sn 2.653 6.339 1.756
Sn 4.721 1.034 1.756
Sn 6.339 4.721 1.756
N 1.817 5.504 0.000
N 1.869 1.817 0.000
N 5.504 5.556 0.000
N 5.556 1.869 0.000
```



Result of the stability comparison: *Q* is the most stable of them.